1.
PrNdSi4Ni2, relaxed, DFT PBE-GGA; energy = -6.112 eV/atom; size of the total moment = 0.0 μB/f.u.; space-group type = Pm
1.0
4.172 0.000 0.000
0.000 4.066 0.000
-2.067 0.000 8.186
Pr Nd Si Ni
1 1 4 2
Direct
0.000 0.000 0.000 Pr
0.213 0.500 0.425 Nd
0.353 0.000 0.711 Si
0.565 0.500 0.131 Si
0.648 0.000 0.294 Si
0.858 0.500 0.712 Si
0.425 0.500 0.848 Ni
0.786 0.000 0.575 Ni



2.
PrNdSi2Ni4, relaxed, DFT PBE-GGA; energy = -5.968 eV/atom; size of the total moment = 0.0 μB/f.u.; space-group type = P-6m2
1.0
4.012 0.000 0.000
-2.006 3.474 0.000
0.000 0.000 9.796
Pr Nd Si Ni
1 1 2 4
Direct
0.000 0.000 0.000 Pr
0.667 0.333 0.500 Nd
0.333 0.667 0.250 Si
0.333 0.667 0.750 Si
0.000 0.000 0.297 Ni
0.000 0.000 0.703 Ni
0.667 0.333 0.204 Ni
0.667 0.333 0.796 Ni



3.
Pr3Nd3NiTe2, relaxed, DFT PBE-GGA; energy = -5.210 eV/atom; size of the total moment = 0.0 μB/f.u.; space-group type = P-62m; energy relative to the lowest polymorph listed for this composition = 13 meV/atom
1.0
8.744 0.000 0.000
-4.372 7.572 0.000
0.000 0.000 4.002
Pr Nd Ni Te
3 3 1 2
Direct
0.000 0.760 0.000 Pr
0.240 0.240 0.000 Pr
0.760 0.000 0.000 Pr
0.000 0.414 0.500 Nd
0.414 0.000 0.500 Nd
0.586 0.586 0.500 Nd
0.000 0.000 0.500 Ni
0.333 0.667 0.000 Te
0.667 0.333 0.000 Te



4.
Pr3Nd3NiTe2, relaxed, DFT PBE-GGA; energy = -5.223 eV/atom; size of the total moment = 0.0 μB/f.u.; space-group type = P-62m; energy relative to the lowest polymorph listed for this composition = 0 meV/atom
1.0
8.727 0.000 0.000
-4.364 7.558 0.000
0.000 0.000 4.019
Pr Nd Ni Te
3 3 1 2
Direct
0.000 0.414 0.000 Pr
0.414 0.000 0.000 Pr
0.586 0.586 0.000 Pr
0.000 0.761 0.500 Nd
0.239 0.239 0.500 Nd
0.761 0.000 0.500 Nd
0.000 0.000 0.000 Ni
0.333 0.667 0.500 Te
0.667 0.333 0.500 Te



5.
PrNd2Tl3Ni3, relaxed, DFT PBE-GGA; energy = -4.554 eV/atom; size of the total moment = 0.0 μB/f.u.; space-group type = Amm2
1.0
3.944 0.000 0.000
0.000 6.656 3.848
0.000 -6.656 3.848
Pr Nd Tl Ni
1 2 3 3
Direct
0.000 0.000 0.000 Pr
0.000 0.174 0.587 Nd
0.000 0.587 0.174 Nd
0.500 0.334 0.334 Tl
0.500 0.586 0.841 Tl
0.500 0.841 0.586 Tl
0.000 0.586 0.586 Ni
0.500 0.254 0.920 Ni
0.500 0.920 0.254 Ni



6.
Nd3NiPt8, relaxed, DFT PBE-GGA; energy = -6.545 eV/atom; size of the total moment = 0.0 μB/f.u.; formation energy from the elements = -0.8533 eV per atom; space-group type = R-3m
1.0
2.732 1.577 8.779
-2.732 1.577 8.779
0.000 -3.154 8.779
Nd Ni Pt
3 1 8
Direct
0.000 0.000 0.000 Nd
0.140 0.140 0.140 Nd
0.860 0.860 0.860 Nd
0.500 0.500 0.500 Ni
0.086 0.588 0.588 Pt
0.333 0.333 0.333 Pt
0.412 0.412 0.914 Pt
0.412 0.914 0.412 Pt
0.588 0.086 0.588 Pt
0.588 0.588 0.086 Pt
0.667 0.667 0.667 Pt
0.914 0.412 0.412 Pt